(P)
The following is a GGA-PBE calculation of a relaxed HfRuSeN2 crystal, from Alexandria via LeMat-Bulk.

Cell: 4.043 4.043 5.510 Å, 90.00 90.00 90.00°
Space group P4/mmm (No. 123)
Symmetry-distinct sites (fractional):
Hf: 0.000 0.000 0.000 x1
Ru: 0.500 0.500 0.500 x1
Se: 0.000 0.000 0.500 x1
N: 0.000 0.500 0.000 x2

(Q)
The following is a GGA-PBE calculation of a relaxed HfRuSeN2 crystal, from Alexandria via LeMat-Bulk.

Cell: 3.869 3.869 4.989 Å, 90.00 90.00 90.00°
Space group P4/mmm (No. 123)
Symmetry-distinct sites (fractional):
Hf: 0.000 0.000 0.000 x1
Ru: 0.500 0.500 0.500 x1
Se: 0.500 0.500 0.000 x1
N: 0.000 0.500 0.500 x2

The energy of each structure relative to the most stable one, in eV/atom, is as follows: (P) 0.219; (Q) 0.000.

(P)
The following is a GGA-PBE calculation of a relaxed Hf2SN crystal, from Alexandria via LeMat-Bulk.

Cell: 3.2840 3.2840 18.4662 Å, 90.00 90.00 120.00°
Space group R3m (No. 160, hexagonal axes)
Symmetry-distinct sites (fractional):
Hf: 0.0000 0.0000 0.0000 x3
Hf: 0.0000 0.0000 0.1970 x3
S: 0.0000 0.0000 0.4313 x3
N: 0.0000 0.0000 0.5994 x3

(Q)
The following is a GGA-PBE calculation of a relaxed Hf2SN crystal, from Alexandria via LeMat-Bulk.

Cell: 6.051 6.051 6.051 Å, 90.00 90.00 90.00°
Space group Fm-3m (No. 225)
Symmetry-distinct sites (fractional):
Hf: 0.250 0.250 0.250 x8
S: 0.000 0.000 0.000 x4
N: 0.000 0.000 0.500 x4

The energy of each structure relative to the most stable one, in eV/atom, is as follows: (P) 0.000; (Q) 0.786.